No. 1
Computed, not measured: ErCuTe2 after structural relaxation at the PBE level of DFT.

Results
- volume (Å³ per cell) = 428.3
- uncorrected formation energy (eV per atom) = -0.730
- VASP energy (eV per atom) = -4.4655

abc: 4.4916 4.4916 24.5137
angles: 90.00 90.00 120.00
Closest atoms and distances in Å follow each position.
Space group R-3m (No. 166, hexagonal axes)
Unique sites:
Er (0.0000, 0.0000, 0.0000) [3 per cell]  6 Te 3.07
Cu (0.0000, 0.0000, 0.5000) [3 per cell]  2 Te 2.44
Te (0.0000, 0.0000, 0.4005) [6 per cell]  1 Cu 2.44

---

No. 2
Computed, not measured: Ca2NbPdN after structural relaxation at the PBE level of DFT.

Results
- volume (Å³ per cell) = 146.4
- density of states at the Fermi level (states/eV/f.u.) = 5.33
- uncorrected formation energy (eV per atom) = 1.177
- VASP energy (eV per atom) = -4.3411

abc: 5.4939 5.4939 4.8512
angles: 90.00 90.00 90.00
Closest atoms and distances in Å follow each position.
Space group P4/mmm (No. 123)
Unique sites:
Ca (0.0000, 0.5000, 0.0000) [2 per cell]  2 Pd 2.75
Nb (0.0000, 0.0000, 0.5000) [1 per cell]  2 Pd 2.43
Pd (0.0000, 0.0000, 0.0000) [1 per cell]  2 Nb 2.43
N (0.5000, 0.5000, 0.5000) [1 per cell]  8 Ca 3.66, 4 Nb 3.88

---

No. 3
Computed, not measured: NdHo6Tl2 after structural relaxation at the PBE level of DFT.

Results
- ΔE to the lowest computed polymorph (meV/atom) = 0
- volume (Å³ per cell) = 545.7
- density of states at the Fermi level (states/eV/f.u.) = 12.18
- E_form (eV per atom) = -0.140
- VASP energy (eV per atom) = -4.2478

abc: 12.7385 3.7466 12.0071
angles: 90.00 107.78 90.00
Closest atoms and distances in Å follow each position.
Space group C2/m (No. 12)
Unique sites:
Nd (0.0000, 0.0000, 0.0000) [2 per cell]  4 Tl 3.27
Ho (0.0113, 0.0000, 0.3481) [4 per cell]  2 Tl 3.22, 6 Ho 3.48-3.59
Ho (0.1876, 0.5000, 0.8736) [4 per cell]  2 Tl 3.29, 5 Ho 3.51-3.59
Ho (0.1902, 0.5000, 0.5821) [4 per cell]  2 Tl 3.28, 8 Ho 3.40-3.63
Tl (0.1419, 0.5000, 0.2168) [4 per cell]  6 Ho 3.22-3.29, 2 Nd 3.27

---

No. 4
Computed, not measured: Dy2InSe after structural relaxation at the PBE level of DFT.

Results
- ΔE to the lowest computed polymorph (meV/atom) = 173
- volume (Å³ per cell) = 98.6
- density of states at the Fermi level (states/eV/f.u.) = 2.72
- uncorrected formation energy (eV per atom) = -0.931
- VASP energy (eV per atom) = -4.7880

abc: 3.4983 3.4983 8.0573
angles: 90.00 90.00 90.00
Closest atoms and distances in Å follow each position.
Space group P4/mmm (No. 123)
Unique sites:
Dy (0.0000, 0.0000, 0.2278) [2 per cell]  4 Se 3.08, 4 In 3.31
In (0.5000, 0.5000, 0.5000) [1 per cell]  8 Dy 3.31, 4 In 3.50
Se (0.5000, 0.5000, 0.0000) [1 per cell]  8 Dy 3.08